Crystalline Nd6CN3 at its relaxed geometry, computed with PBE-GGA.

The structure in CIF format:
```
data_Nd6CN3
_chemical_formula_sum 'Nd6 C1 N3'
_space_group_name_H-M_alt 'P 1'
_space_group_IT_number 1
_cell_length_a 7.0769
_cell_length_b 7.0769
_cell_length_c 7.0769
_cell_angle_alpha 52.77
_cell_angle_beta 52.77
_cell_angle_gamma 52.77
loop_
_space_group_symop_operation_xyz
'x,y,z'
loop_
_atom_site_label
_atom_site_fract_x
_atom_site_fract_y
_atom_site_fract_z
Nd1 0.0106 0.6576 0.3318
Nd2 0.1548 0.5194 0.8253
Nd3 0.3318 0.0106 0.6576
Nd4 0.5194 0.8253 0.1548
Nd5 0.6576 0.3318 0.0106
Nd6 0.8253 0.1548 0.5194
C1 0.2428 0.2428 0.2428
N1 0.4216 0.4216 0.4216
N2 0.7444 0.7444 0.7444
N3 0.9226 0.9226 0.9226
```

Density: 7.34 g/cm3
Raw formation energy: -729 meV per atom
Final energy: -70.098 eV per formula unit
Size of the total moment: 0.00 μB/cell

=====

Crystalline TmMgNpO6 at its relaxed geometry, computed with PBE-GGA.

The structure in CIF format:
```
data_TmMgNpO6
_chemical_formula_sum 'Tm2 Mg2 Np2 O12'
_space_group_name_H-M_alt 'P 1'
_space_group_IT_number 1
_cell_length_a 5.6155
_cell_length_b 5.6155
_cell_length_c 8.8708
_cell_angle_alpha 90.00
_cell_angle_beta 90.00
_cell_angle_gamma 120.00
loop_
_space_group_symop_operation_xyz
'x,y,z'
loop_
_atom_site_label
_atom_site_fract_x
_atom_site_fract_y
_atom_site_fract_z
Tm1 0.3333 0.6667 0.2500
Tm2 0.6667 0.3333 0.7500
Mg1 0.0000 0.0000 0.0000
Mg2 0.0000 0.0000 0.5000
Np1 0.3333 0.6667 0.7500
Np2 0.6667 0.3333 0.2500
O1 0.0266 0.3549 0.6311
O2 0.0266 0.6718 0.8689
O3 0.3282 0.3549 0.8689
O4 0.3282 0.9734 0.6311
O5 0.3549 0.0266 0.1311
O6 0.3549 0.3282 0.3689
O7 0.6451 0.6718 0.6311
O8 0.6451 0.9734 0.8689
O9 0.6718 0.0266 0.3689
O10 0.6718 0.6451 0.1311
O11 0.9734 0.3282 0.1311
O12 0.9734 0.6451 0.3689
```

Density: 7.21 g/cm3
Raw formation energy: -2786 meV per atom
Final energy: -73.828 eV per formula unit
Size of the total moment: 0.00 μB/cell

=====

Crystalline Rb3La2USe6 at its relaxed geometry, computed with PBE-GGA.

The structure in CIF format:
```
data_Rb3La2USe6
_chemical_formula_sum 'Rb3 La2 U1 Se6'
_space_group_name_H-M_alt 'P 1'
_space_group_IT_number 1
_cell_length_a 7.6588
_cell_length_b 7.6588
_cell_length_c 8.4126
_cell_angle_alpha 98.73
_cell_angle_beta 98.73
_cell_angle_gamma 120.00
loop_
_space_group_symop_operation_xyz
'x,y,z'
loop_
_atom_site_label
_atom_site_fract_x
_atom_site_fract_y
_atom_site_fract_z
Rb1 0.0000 0.0000 0.0000
Rb2 0.3315 0.6685 0.0000
Rb3 0.6685 0.3315 0.0000
La1 0.1665 0.8335 0.5000
La2 0.8335 0.1665 0.5000
U1 0.5000 0.5000 0.5000
Se1 0.1079 0.4332 0.2994
Se2 0.2419 0.2419 0.7010
Se3 0.4332 0.1079 0.2994
Se4 0.5668 0.8921 0.7006
Se5 0.7581 0.7581 0.2990
Se6 0.8921 0.5668 0.7006
```

Density: 5.08 g/cm3
Raw formation energy: -1596 meV per atom
Final energy: -64.109 eV per formula unit
Size of the total moment: 3.02 μB/cell

=====

Crystalline NaScPO2 at its relaxed geometry, computed with PBE-GGA.

The structure in CIF format:
```
data_NaScPO2
_chemical_formula_sum 'Na1 Sc1 P1 O2'
_space_group_name_H-M_alt 'P 1'
_space_group_IT_number 1
_cell_length_a 4.0315
_cell_length_b 4.0315
_cell_length_c 4.7710
_cell_angle_alpha 90.00
_cell_angle_beta 90.00
_cell_angle_gamma 90.00
loop_
_space_group_symop_operation_xyz
'x,y,z'
loop_
_atom_site_label
_atom_site_fract_x
_atom_site_fract_y
_atom_site_fract_z
Na1 0.0000 0.0000 0.0000
Sc1 0.5000 0.5000 0.5000
P1 0.0000 0.0000 0.5000
O1 0.0000 0.5000 0.0000
O2 0.5000 0.0000 0.0000
```

Density: 2.80 g/cm3
Raw formation energy: -37 meV per atom
Final energy: -23.160 eV per formula unit
Size of the total moment: 1.60 μB/cell

=====

Crystalline SrVPS2 at its relaxed geometry, computed with PBE-GGA.

The structure in CIF format:
```
data_SrVPS2
_chemical_formula_sum 'Sr1 V1 P1 S2'
_space_group_name_H-M_alt 'P 1'
_space_group_IT_number 1
_cell_length_a 5.3554
_cell_length_b 5.3554
_cell_length_c 5.3241
_cell_angle_alpha 90.00
_cell_angle_beta 90.00
_cell_angle_gamma 90.00
loop_
_space_group_symop_operation_xyz
'x,y,z'
loop_
_atom_site_label
_atom_site_fract_x
_atom_site_fract_y
_atom_site_fract_z
Sr1 0.0000 0.0000 0.0000
V1 0.5000 0.5000 0.5000
P1 0.0000 0.0000 0.5000
S1 0.0000 0.5000 0.0000
S2 0.5000 0.0000 0.0000
```

Density: 2.54 g/cm3
Raw formation energy: 1217 meV per atom
Final energy: -18.382 eV per formula unit
Size of the total moment: 0.46 μB/cell

=====

Crystalline Sc5PaGa6 at its relaxed geometry, computed with PBE-GGA.

The structure in CIF format:
```
data_Sc5PaGa6
_chemical_formula_sum 'Sc5 Pa1 Ga6'
_space_group_name_H-M_alt 'P 1'
_space_group_IT_number 1
_cell_length_a 8.3517
_cell_length_b 8.3517
_cell_length_c 4.8242
_cell_angle_alpha 106.34
_cell_angle_beta 106.34
_cell_angle_gamma 47.25
loop_
_space_group_symop_operation_xyz
'x,y,z'
loop_
_atom_site_label
_atom_site_fract_x
_atom_site_fract_y
_atom_site_fract_z
Sc1 0.0000 0.0000 0.0000
Sc2 0.1701 0.1701 0.6700
Sc3 0.3409 0.3409 0.3412
Sc4 0.6591 0.6591 0.6588
Sc5 0.8299 0.8299 0.3300
Pa1 0.5000 0.5000 0.0000
Ga1 0.0655 0.5889 0.8279
Ga2 0.2252 0.7748 0.5000
Ga3 0.4111 0.9345 0.1721
Ga4 0.5889 0.0655 0.8279
Ga5 0.7748 0.2252 0.5000
Ga6 0.9345 0.4111 0.1721
```

Density: 6.17 g/cm3
Final energy: -65.313 eV per formula unit
Size of the total moment: 0.13 μB/cell
ΔE_f: -0.500 eV per atom

=====

Crystalline Ca2NdSb at its relaxed geometry, computed with PBE-GGA.

The structure in CIF format:
```
data_Ca2NdSb
_chemical_formula_sum 'Ca2 Nd1 Sb1'
_space_group_name_H-M_alt 'P 1'
_space_group_IT_number 1
_cell_length_a 4.8886
_cell_length_b 4.8886
_cell_length_c 5.1949
_cell_angle_alpha 90.00
_cell_angle_beta 90.00
_cell_angle_gamma 90.00
loop_
_space_group_symop_operation_xyz
'x,y,z'
loop_
_atom_site_label
_atom_site_fract_x
_atom_site_fract_y
_atom_site_fract_z
Ca1 0.0000 0.5000 0.0000
Ca2 0.5000 0.0000 0.0000
Nd1 0.0000 0.0000 0.5000
Sb1 0.5000 0.5000 0.5000
```

Density: 4.63 g/cm3
Raw formation energy: -467 meV per atom
Final energy: -14.761 eV per formula unit
Size of the total moment: 0.00 μB/cell

=====

Crystalline Er2HfS6 at its relaxed geometry, computed with PBE-GGA.

The structure in CIF format:
```
data_Er2HfS6
_chemical_formula_sum 'Er4 Hf2 S12'
_space_group_name_H-M_alt 'P 1'
_space_group_IT_number 1
_cell_length_a 6.5249
_cell_length_b 7.0828
_cell_length_c 10.0580
_cell_angle_alpha 90.00
_cell_angle_beta 123.87
_cell_angle_gamma 90.00
loop_
_space_group_symop_operation_xyz
'x,y,z'
loop_
_atom_site_label
_atom_site_fract_x
_atom_site_fract_y
_atom_site_fract_z
Er1 0.1969 0.1287 0.2274
Er2 0.1969 0.3713 0.7274
Er3 0.8031 0.6287 0.2726
Er4 0.8031 0.8713 0.7726
Hf1 0.5000 0.0000 0.0000
Hf2 0.5000 0.5000 0.5000
S1 0.1055 0.1686 0.9217
S2 0.1055 0.3314 0.4217
S3 0.2864 0.6791 0.9557
S4 0.2864 0.8209 0.4557
S5 0.3853 0.0219 0.7204
S6 0.3853 0.4781 0.2204
S7 0.6147 0.5219 0.7796
S8 0.6147 0.9781 0.2796
S9 0.7136 0.1791 0.5443
S10 0.7136 0.3209 0.0443
S11 0.8945 0.6686 0.5783
S12 0.8945 0.8314 0.0783
```

Density: 6.07 g/cm3
Raw formation energy: -1466 meV per atom
Final energy: -57.035 eV per formula unit
Size of the total moment: 0.00 μB/cell

=====

Crystalline MnSnIrPt at its relaxed geometry, computed with PBE-GGA.

The structure in CIF format:
```
data_MnSnIrPt
_chemical_formula_sum 'Mn1 Sn1 Ir1 Pt1'
_space_group_name_H-M_alt 'P 1'
_space_group_IT_number 1
_cell_length_a 5.0426
_cell_length_b 5.0426
_cell_length_c 5.0426
_cell_angle_alpha 134.14
_cell_angle_beta 134.14
_cell_angle_gamma 66.87
loop_
_space_group_symop_operation_xyz
'x,y,z'
loop_
_atom_site_label
_atom_site_fract_x
_atom_site_fract_y
_atom_site_fract_z
Mn1 0.0000 0.0000 0.0000
Sn1 0.7500 0.2500 0.5000
Ir1 0.2500 0.7500 0.5000
Pt1 0.5000 0.5000 0.0000
```

Density: 14.34 g/cm3
Final energy: -28.664 eV per formula unit
Size of the total moment: 4.18 μB/cell
ΔE_f: -0.147 eV per atom

=====

Crystalline NpAg2PbO6 at its relaxed geometry, computed with PBE-GGA.

The structure in CIF format:
```
data_NpAg2PbO6
_chemical_formula_sum 'Np1 Ag2 Pb1 O6'
_space_group_name_H-M_alt 'P 1'
_space_group_IT_number 1
_cell_length_a 6.0285
_cell_length_b 6.0285
_cell_length_c 6.0285
_cell_angle_alpha 58.54
_cell_angle_beta 58.54
_cell_angle_gamma 58.54
loop_
_space_group_symop_operation_xyz
'x,y,z'
loop_
_atom_site_label
_atom_site_fract_x
_atom_site_fract_y
_atom_site_fract_z
Np1 0.0000 0.0000 0.0000
Ag1 0.2403 0.2403 0.2403
Ag2 0.7597 0.7597 0.7597
Pb1 0.5000 0.5000 0.5000
O1 0.1148 0.3428 0.7752
O2 0.2248 0.8852 0.6572
O3 0.3428 0.7752 0.1148
O4 0.6572 0.2248 0.8852
O5 0.7752 0.1148 0.3428
O6 0.8852 0.6572 0.2248
```

Density: 8.38 g/cm3
Raw formation energy: -1342 meV per atom
Final energy: -65.521 eV per formula unit
Size of the total moment: 0.00 μB/cell

=====

Crystalline LaHf2Os2 at its relaxed geometry, computed with PBE-GGA.

The structure in CIF format:
```
data_LaHf2Os2
_chemical_formula_sum 'La2 Hf4 Os4'
_space_group_name_H-M_alt 'P 1'
_space_group_IT_number 1
_cell_length_a 8.0188
_cell_length_b 8.0188
_cell_length_c 3.2095
_cell_angle_alpha 90.00
_cell_angle_beta 90.00
_cell_angle_gamma 90.00
loop_
_space_group_symop_operation_xyz
'x,y,z'
loop_
_atom_site_label
_atom_site_fract_x
_atom_site_fract_y
_atom_site_fract_z
La1 0.0000 0.0000 0.0000
La2 0.5000 0.5000 0.0000
Hf1 0.1400 0.3600 0.5000
Hf2 0.3600 0.8600 0.5000
Hf3 0.6400 0.1400 0.5000
Hf4 0.8600 0.6400 0.5000
Os1 0.1490 0.6490 0.0000
Os2 0.3510 0.1490 0.0000
Os3 0.6490 0.8510 0.0000
Os4 0.8510 0.3510 0.0000
```

Density: 14.10 g/cm3
Final energy: -48.410 eV per formula unit
Size of the total moment: 0.00 μB/cell
ΔE_f: -0.223 eV per atom